Entry 1:
A plane-wave DFT calculation with PBE-GGA was carried out for an optimized crystal structure of CoAu2Br.

Geometry as POSCAR:
```
CoAu2Br
1.0
-2.7397 -0.9234 -1.7377
1.8112 -3.7117 -0.8834
-2.1938 -2.1678 4.6108
Co Br Au
1 1 2
direct
0.0000 0.5000 0.5000
0.5000 0.0000 0.5000
0.5000 0.5000 0.0000
0.0000 0.0000 0.0000
```

Values from the calculation:
Symmetry: Pmmm (47)
Raw formation energy: 0.52 eV/atom
Relative energy among the computed polymorphs: 1.15 eV/f.u.

Entry 2:
A plane-wave DFT calculation with PBE-GGA was carried out for an optimized crystal structure of GdHoGeAu.

Geometry as POSCAR:
```
GdHoGeAu
1.0
5.0866 0.0000 0.0000
2.5433 4.4051 0.0000
2.5433 1.4684 4.1532
Ge Ho Au Gd
1 1 1 1
direct
0.2500 0.2500 0.2500
0.5000 0.5000 0.5000
0.7500 0.7500 0.7500
0.0000 0.0000 0.0000
```

Values from the calculation:
Symmetry: F-43m (216)
Energy of formation: -3.1 eV/f.u.

Entry 3:
A plane-wave DFT calculation with PBE-GGA was carried out for an optimized crystal structure of ReS.

Geometry as POSCAR:
```
ReS
1.0
-3.1685 -0.4756 5.5884
-1.1284 -6.2332 -1.1703
5.4939 -1.5545 2.9826
Re S
6 6
direct
0.0000 0.5000 0.7500
0.5000 0.7500 0.0000
0.2500 0.0000 0.5000
0.5000 0.2500 0.0000
0.7500 0.0000 0.5000
0.0000 0.5000 0.2500
0.5000 0.0000 0.7500
0.7500 0.5000 0.0000
0.0000 0.2500 0.5000
0.0000 0.7500 0.5000
0.2500 0.5000 0.0000
0.5000 0.0000 0.2500
```

Values from the calculation:
Symmetry: Pm-3n (223)
Raw formation energy: 0.62 eV/atom
Relative energy among the computed polymorphs: 1.37 eV/f.u.

Energy values (in eV for the cell shown) by entry order: -13.26; -29.62; -92.07.